No. 1
DyTlCdHg | GGA-PBE | relaxed

Structure (POSCAR):
```
DyTlCdHg
1.0
0.000 3.668 3.668
3.668 0.000 3.668
3.668 3.668 0.000
Dy Tl Cd Hg
1 1 1 1
Cartesian
0.000 0.000 0.000
5.501 5.501 5.501
3.668 3.668 3.668
1.834 1.834 1.834
```

Output
energy relative to the lowest polymorph listed for this composition	15	meV per atom
ΔH_f (0 K)	-0.27	eV/atom
D(E_F)	0.184	states/eV/atom
calculated total energy	-2.314	eV/atom

=====

No. 2
LiCa2Al7 | GGA-PBE | relaxed

Structure (POSCAR):
```
LiCa2Al7
1.0
4.285 0.000 0.000
0.000 4.285 0.000
0.000 0.000 11.497
Li Ca Al
1 2 7
Cartesian
0.000 0.000 0.000
0.000 2.142 8.610
2.142 0.000 2.888
0.000 0.000 5.749
0.000 2.142 1.562
0.000 2.142 4.132
2.142 0.000 7.365
2.142 0.000 9.935
2.142 2.142 0.000
2.142 2.142 5.749
```

Output
ΔH_f (0 K)	-0.20	eV/atom
D(E_F)	0.253	states/eV/atom
calculated total energy	-3.415	eV/atom

=====

No. 3
TbPuBiAu | GGA-PBE | relaxed

Structure (POSCAR):
```
TbPuBiAu
1.0
0.000 3.763 3.763
3.763 0.000 3.763
3.763 3.763 0.000
Tb Pu Bi Au
1 1 1 1
Cartesian
0.000 0.000 0.000
3.763 3.763 3.763
1.882 1.882 1.882
5.645 5.645 5.645
```

Output
ΔH_f (0 K)	-0.52	eV/atom
D(E_F)	2.728	states/eV/atom
calculated total energy	-7.051	eV/atom

=====

No. 4
Hg2RhCl | GGA-PBE | relaxed

Structure (POSCAR):
```
Hg2RhCl
1.0
-1.535 2.372 6.264
1.535 -2.372 6.264
1.535 2.372 -6.264
Hg Rh Cl
2 1 1
Cartesian
0.000 0.000 0.000
0.000 2.372 2.116
0.000 0.000 6.033
1.535 0.000 4.004
```

Output
energy relative to the lowest polymorph listed for this composition	21	meV per atom
D(E_F)	0.810	states/eV/atom
calculated total energy	-2.426	eV/atom

=====

No. 5
Ho3Tl3GaTe8 | GGA-PBE | relaxed

Structure (POSCAR):
```
Ho3Tl3GaTe8
1.0
7.547 -4.351 0.000
7.547 4.351 0.000
-5.033 0.000 8.174
Ho Tl Ga Te
3 3 1 8
Cartesian
0.000 0.000 0.000
3.773 2.176 0.000
3.773 -2.176 0.000
1.257 2.176 4.087
1.257 -2.176 4.087
5.030 0.000 4.087
7.547 0.000 0.000
2.515 0.000 1.766
6.348 2.072 1.666
3.713 2.072 6.508
0.125 0.000 6.511
9.936 0.000 1.663
6.348 -2.072 1.666
3.713 -2.072 6.508
7.546 0.000 6.408
```

Output
D(E_F)	0.473	states/eV/atom
calculated total energy	-4.063	eV/atom

=====

No. 6
GdNi3 | GGA-PBE | relaxed

Structure (POSCAR):
```
GdNi3
1.0
-1.972 1.972 3.768
1.972 -1.972 3.768
1.972 1.972 -3.768
Gd Ni
1 3
Cartesian
0.000 0.000 0.000
1.972 0.000 1.884
0.000 0.000 3.768
0.000 1.972 1.884
```

Output
ΔH_f (0 K)	-0.12	eV/atom
D(E_F)	1.359	states/eV/atom
calculated total energy	-7.980	eV/atom

=====

No. 7
Er2ScAg3S6 | GGA-PBE | relaxed

Structure (POSCAR):
```
Er2ScAg3S6
1.0
7.704 -1.964 0.000
7.704 1.964 0.000
-2.897 0.000 9.038
Er Sc Ag S
2 1 3 6
Cartesian
1.562 0.000 2.845
10.948 0.000 6.193
7.704 0.000 0.000
0.223 0.000 6.647
6.255 0.000 4.519
12.287 0.000 2.391
-2.120 0.000 7.470
2.505 0.000 7.819
3.884 0.000 4.318
8.626 0.000 4.719
10.005 0.000 1.218
14.630 0.000 1.568
```

Output
D(E_F)	0.000	states/eV/atom
calculated total energy	-5.326	eV/atom

=====

No. 8
ZrSb2Te | GGA-PBE | relaxed

Structure (POSCAR):
```
ZrSb2Te
1.0
-2.238 2.238 5.092
2.238 -2.238 5.092
2.238 2.238 -5.092
Zr Sb Te
1 2 1
Cartesian
0.000 0.000 0.000
2.238 0.000 2.546
0.000 0.000 5.092
0.000 2.238 2.546
```

Output
D(E_F)	0.560	states/eV/atom
calculated total energy	-5.020	eV/atom

=====

No. 9
Gd2HI | GGA-PBE | relaxed

Structure (POSCAR):
```
Gd2HI
1.0
1.887 1.089 7.625
-1.887 1.089 7.625
0.000 -2.179 7.625
Gd H I
2 1 1
Cartesian
0.000 0.000 5.143
0.000 0.000 17.733
0.000 0.000 11.438
0.000 0.000 0.000
```

Output
D(E_F)	0.684	states/eV/atom
calculated total energy	-8.832	eV/atom

=====

No. 10
HfBe2Bi | GGA-PBE | relaxed

Structure (POSCAR):
```
HfBe2Bi
1.0
0.000 3.352 3.352
3.352 0.000 3.352
3.352 3.352 0.000
Hf Be Bi
1 2 1
Cartesian
0.000 0.000 0.000
3.352 3.352 3.352
5.028 5.028 5.028
1.676 1.676 1.676
```

Output
ΔH_f (0 K)	0.84	eV/atom
D(E_F)	0.583	states/eV/atom
calculated total energy	-4.480	eV/atom

=====

No. 11
K2ReSbH | GGA-PBE | relaxed

Structure (POSCAR):
```
K2ReSbH
1.0
6.661 0.000 0.000
0.000 6.661 0.000
0.000 0.000 3.402
K Re Sb H
2 1 1 1
Cartesian
0.000 3.330 0.000
3.330 0.000 0.000
0.000 0.000 0.000
3.330 3.330 1.701
0.000 0.000 1.701
```

Output
D(E_F)	0.306	states/eV/atom
calculated total energy	-3.467	eV/atom

=====

No. 12
PmNd6Er4 | GGA-PBE | relaxed

Structure (POSCAR):
```
PmNd6Er4
1.0
11.092 0.000 0.000
-5.546 9.606 0.000
0.000 0.000 3.581
Pm Nd Er
1 6 4
Cartesian
0.000 0.000 0.000
0.000 3.504 1.791
-2.512 7.854 1.791
5.546 0.456 0.000
3.168 4.575 0.000
2.512 7.854 1.791
7.924 4.575 0.000
2.677 1.546 1.791
0.000 6.404 0.000
8.415 1.546 1.791
5.546 6.515 1.791
```

Output
energy relative to the lowest polymorph listed for this composition	0	meV per atom
ΔH_f (0 K)	0.15	eV/atom
D(E_F)	1.397	states/eV/atom
calculated total energy	-4.542	eV/atom